Entry 1:
The following is a DFT calculation (PBE-GGA) of CoAgAu3 after structural relaxation.

Cell: 4.780 4.780 4.780 Å, 90.00 90.00 90.00°
Space group Pm-3m (No. 221)
Unique sites:
Co (0.000, 0.000, 0.000) [1 per cell]
Ag (0.500, 0.500, 0.500) [1 per cell]
Au (0.000, 0.000, 0.500) [3 per cell]

E above lowest polymorph: 0.00 eV/f.u.
formation energy: 0.732 eV/atom
raw total energy: -3.226 eV per atom
theoretical density: 11.5 Mg/m³
magnetic moment: 1.97 μB/f.u.

***

Entry 2:
The following is a DFT calculation (PBE-GGA) of PmCuRuO6 after structural relaxation.

Cell: 4.775 4.775 10.220 Å, 90.00 90.00 90.00°
Space group P4_2nm (No. 102)
Unique sites:
Pm (0.000, 0.000, 0.000) [2 per cell]
Cu (0.000, 0.000, 0.321) [2 per cell]
Ru (0.000, 0.000, 0.684) [2 per cell]
O (0.182, 0.182, 0.546) [4 per cell]
O (0.210, 0.210, 0.824) [4 per cell]
O (0.223, 0.223, 0.188) [4 per cell]

raw total energy: -6.595 eV per atom
theoretical density: 5.8 Mg/m³
ΔE_f (raw): -123.1 kJ per mole of atoms
magnetic moment: 0.00 μB/f.u.

***

Entry 3:
The following is a DFT calculation (PBE-GGA) of SrTe3Ru after structural relaxation.

Cell: 6.023 6.023 6.023 Å, 90.00 90.00 90.00°
Space group Pm-3m (No. 221)
Unique sites:
Sr (0.000, 0.000, 0.000) [1 per cell]
Te (0.000, 0.000, 0.500) [3 per cell]
Ru (0.500, 0.500, 0.500) [1 per cell]

E above lowest polymorph: 7.07 eV/f.u.
raw total energy: -2.938 eV per atom
theoretical density: 4.3 Mg/m³
ΔE_f (raw): 109.8 kJ per mole of atoms
magnetic moment: 3.07 μB/f.u.

***

Entry 4:
The following is a DFT calculation (PBE-GGA) of PrTmPa2Sb4 after structural relaxation.

Cell: 7.618 4.398 7.677 Å, 90.00 109.32 90.00°
Space group P2/m (No. 10)
Unique sites:
Pr (0.000, 0.000, 0.000) [1 per cell]
Tm (0.500, 0.500, 0.000) [1 per cell]
Pa (0.000, 0.500, 0.500) [1 per cell]
Pa (0.500, 0.000, 0.500) [1 per cell]
Sb (0.257, 0.000, 0.750) [2 per cell]
Sb (0.259, 0.500, 0.256) [2 per cell]

raw total energy: -6.351 eV per atom
theoretical density: 8.6 Mg/m³
ΔE_f (raw): -73.3 kJ per mole of atoms
magnetic moment: 1.89 μB/f.u.

***

Entry 5:
The following is a DFT calculation (PBE-GGA) of Eu3Ti2O7 after structural relaxation.

Cell: 3.930 3.930 20.183 Å, 90.00 90.00 90.00°
Space group I4/mmm (No. 139)
Unique sites:
Eu (0.000, 0.000, 0.000) [2 per cell]
Eu (0.000, 0.000, 0.184) [4 per cell]
Ti (0.000, 0.000, 0.401) [4 per cell]
O (0.000, 0.000, 0.302) [4 per cell]
O (0.000, 0.000, 0.500) [2 per cell]
O (0.000, 0.500, 0.098) [8 per cell]

raw total energy: -9.866 eV per atom
theoretical density: 7.1 Mg/m³
ΔE_f (raw): -298.1 kJ per mole of atoms
magnetic moment: 6.93 μB/f.u.

***

Entry 6:
The following is a DFT calculation (PBE-GGA) of Ho7NiI12 after structural relaxation.

Cell: 15.5992 15.5992 10.6426 Å, 90.00 90.00 120.00°
Space group R-3 (No. 148, hexagonal axes)
Unique sites:
Ho (0.0000, 0.0000, 0.0000) [3 per cell]
Ho (0.0421, 0.1539, 0.3593) [18 per cell]
Ni (0.0000, 0.0000, 0.5000) [3 per cell]
I (0.0197, 0.5846, 0.1592) [18 per cell]
I (0.0509, 0.1811, 0.8389) [18 per cell]

raw total energy: -4.005 eV per atom
theoretical density: 6.1 Mg/m³
ΔE_f (raw): -114.2 kJ per mole of atoms
magnetic moment: 0.45 μB/f.u.

***

Entry 7:
The following is a DFT calculation (PBE-GGA) of Ca5AcSn3 after structural relaxation.

Cell: 9.5150 9.5150 7.2884 Å, 90.00 90.00 120.00°
Space group P6_3/mcm (No. 193)
Unique sites:
Ca (0.0000, 0.3418, 0.2500) [6 per cell]
Ca (0.3333, 0.6667, 0.0000) [4 per cell]
Ac (0.0000, 0.0000, 0.0000) [2 per cell]
Sn (0.0000, 0.3308, 0.7500) [6 per cell]

formation energy: -0.605 eV/atom
raw total energy: -3.508 eV per atom
theoretical density: 4.6 Mg/m³
magnetic moment: 0.00 μB/f.u.

***

Entry 8:
The following is a DFT calculation (PBE-GGA) of KTiBr6 after structural relaxation.

Cell: 6.254 6.574 7.372 Å, 100.34 112.31 99.00°
Space group P-1 (No. 2)
Unique sites:
K (0.000, 0.000, 0.000) [1 per cell]
Ti (0.000, 0.500, 0.500) [1 per cell]
Br (0.200, 0.187, 0.538) [2 per cell]
Br (0.204, 0.599, 0.284) [2 per cell]
Br (0.347, 0.731, 0.813) [2 per cell]

raw total energy: -3.457 eV per atom
theoretical density: 3.5 Mg/m³
ΔE_f (raw): -104.1 kJ per mole of atoms
magnetic moment: 0.82 μB/f.u.

***

Entry 9:
The following is a DFT calculation (PBE-GGA) of Sr3In4Pd4 after structural relaxation.

Cell: 4.415 8.049 15.188 Å, 90.00 90.00 90.00°
Space group Immm (No. 71)
Unique sites:
Sr (0.000, 0.000, 0.000) [2 per cell]
Sr (0.000, 0.500, 0.120) [4 per cell]
In (0.000, 0.304, 0.328) [8 per cell]
Pd (0.000, 0.000, 0.220) [4 per cell]
Pd (0.000, 0.191, 0.500) [4 per cell]

formation energy: -0.637 eV/atom
raw total energy: -3.979 eV per atom
theoretical density: 7.1 Mg/m³
magnetic moment: 0.00 μB/f.u.